Compound: CdBiTe2O8
Source: Alexandria via LeMat-Bulk
Functional: PBE
Structure: optimized geometry

abc: 6.329 6.329 6.329
angles: 107.19 107.19 114.13
Sites, in units of the cell vectors:
1 Cd 0.000 0.000 0.000
2 Bi 0.250 0.750 0.500
3 Te 0.500 0.500 0.000
4 Te 0.750 0.250 0.500
5 O 0.313 0.125 0.812
6 O 0.313 0.500 0.188
7 O 0.384 0.069 0.314
8 O 0.500 0.687 0.812
9 O 0.755 0.069 0.686
10 O 0.875 0.687 0.188
11 O 0.931 0.245 0.314
12 O 0.931 0.616 0.686

## Properties
The value obtained for the density of states at the Fermi level is 3.94 states/eV per cell. The space-group type is I-4m2 (119). The calculation puts the calculated density at 6.03 g/cm3. For the calculated total energy, the calculation gives -5.106 eV/atom.



Compound: Sm5InSn2
Source: Alexandria via LeMat-Bulk
Functional: PBE
Structure: optimized geometry

abc: 9.266 9.266 9.266
angles: 127.03 127.03 78.21
Sites, in units of the cell vectors:
1 Sm 0.000 0.000 0.000
2 Sm 0.017 0.517 0.830
3 Sm 0.187 0.017 0.500
4 Sm 0.313 0.813 0.830
5 Sm 0.483 0.313 0.500
6 Sm 0.500 0.500 0.000
7 Sm 0.517 0.687 0.500
8 Sm 0.687 0.187 0.170
9 Sm 0.813 0.983 0.500
10 Sm 0.983 0.483 0.170
11 In 0.250 0.250 0.000
12 In 0.750 0.750 0.000
13 Sn 0.135 0.365 0.500
14 Sn 0.365 0.865 0.230
15 Sn 0.635 0.135 0.770
16 Sn 0.865 0.635 0.500

## Properties
The value obtained for the density of states at the Fermi level is 14.15 states/eV per cell. The space-group type is I4/mcm (140). The calculation puts the calculated density at 7.46 g/cm3. For the calculated total energy, the calculation gives -4.846 eV/atom. The energy above the most stable polymorph in this dataset comes out at 0.000 eV per atom.



Compound: Dy2PPd6
Source: Alexandria via LeMat-Bulk
Functional: PBE
Structure: optimized geometry

abc: 6.101 6.101 6.101
angles: 60.00 60.00 60.00
Sites, in units of the cell vectors:
1 Dy 0.250 0.250 0.250
2 Dy 0.750 0.750 0.750
3 P 0.000 0.000 0.000
4 Pd 0.267 0.267 0.733
5 Pd 0.267 0.733 0.267
6 Pd 0.267 0.733 0.733
7 Pd 0.733 0.267 0.267
8 Pd 0.733 0.267 0.733
9 Pd 0.733 0.733 0.267

## Properties
The value obtained for the density of states at the Fermi level is 3.87 states/eV per cell. The space-group type is Fm-3m (225). The calculation puts the calculated density at 10.28 g/cm3. For the calculated total energy, the calculation gives -5.943 eV/atom.



Compound: TlAsIrPbAuCl
Source: Alexandria via LeMat-Bulk
Functional: PBE
Structure: optimized geometry

abc: 4.198 4.198 9.881
angles: 90.18 90.18 59.61
Sites, in units of the cell vectors:
1 Tl 0.000 0.000 0.000
2 As 0.998 0.998 0.352
3 Ir 0.665 0.665 0.324
4 Pb 0.332 0.332 0.556
5 Au 0.332 0.332 0.168
6 Cl 0.665 0.665 0.759

## Properties
The value obtained for the density of states at the Fermi level is 1.45 states/eV per cell. The space-group type is Cm (8). The calculation puts the calculated density at 10.08 g/cm3. For the calculated total energy, the calculation gives -4.340 eV/atom. The energy above the most stable polymorph in this dataset comes out at 0.014 eV per atom.